VASP calculation (GGA-PBE) on an optimized crystal structure of Ca2NdSmTe4.

abc: 7.694 4.446 7.890
angles: 90.00 109.03 90.00
Space group P2/m (No. 10)
Symmetry-distinct sites (fractional):
1 Ca 0.000 0.000 0.000
2 Ca 0.500 0.500 0.000
3 Nd 0.000 0.500 0.500
4 Sm 0.500 0.000 0.500
5 Te 0.251 0.500 0.247
6 Te 0.254 0.000 0.754

Summary:
* energy relative to the elements, uncorrected: -1.51 eV/atom
* ρ: 5.76 g/cm3

VASP calculation (GGA-PBE) on an optimized crystal structure of Li2ReRu.

abc: 2.685 4.500 9.419
angles: 90.00 90.00 90.00
Space group Cmmm (No. 65)
Symmetry-distinct sites (fractional):
1 Li 0.000 0.000 0.245
2 Re 0.000 0.500 0.500
3 Ru 0.000 0.500 0.000

Summary:
* distance to the lowest polymorph of the same formula: 91 meV/atom
* ρ: 8.79 g/cm3
* formation enthalpy at 0 K: 247 meV/atom